Entry P
Computed, not measured: a geometry-optimized SrLiAg2 structure at the GGA-PBE level of DFT.

Lattice parameters (Å, degrees): 5.1043 5.1043 5.1043 60.00 60.00 60.00
With the nearest neighbours (Å) after each atom.
Fractional coordinates of all 4 atoms:
1 Sr 0.0000 0.0000 0.0000  4 Li 3.13, 4 Ag 3.13
2 Li 0.2500 0.2500 0.2500  4 Ag 3.13, 4 Sr 3.13
3 Ag 0.5000 0.5000 0.5000  4 Ag 3.13, 4 Li 3.13
4 Ag 0.7500 0.7500 0.7500  4 Ag 3.13, 4 Sr 3.13

As for the space group: No. 216. The calculation puts the total magnetization at 0.00 μB per formula unit.

Entry Q
Computed, not measured: a geometry-optimized SrLiAg2 structure at the GGA-PBE level of DFT.

Lattice parameters (Å, degrees): 8.0475 7.6246 6.1067 90.00 90.00 90.00
With the nearest neighbours (Å) after each atom.
Fractional coordinates of all 16 atoms:
1 Sr 0.0291 0.2500 0.1302  3 Li 3.20-3.37, 8 Ag 3.33-3.50
2 Sr 0.4709 0.7500 0.6302  3 Li 3.20-3.37, 8 Ag 3.33-3.50
3 Sr 0.5291 0.2500 0.3698  3 Li 3.20-3.37, 8 Ag 3.33-3.50
4 Sr 0.9709 0.7500 0.8698  3 Li 3.20-3.37, 8 Ag 3.33-3.50
5 Li 0.1223 0.7500 0.3551  6 Ag 2.75-2.79
6 Li 0.3777 0.2500 0.8551  6 Ag 2.75-2.79
7 Li 0.6223 0.7500 0.1449  6 Ag 2.75-2.79
8 Li 0.8777 0.2500 0.6449  6 Ag 2.75-2.79
9 Ag 0.1701 0.0595 0.5871  3 Li 2.75-2.79, 2 Ag 2.91-3.07
10 Ag 0.1701 0.4405 0.5871  3 Li 2.75-2.79, 2 Ag 2.91-3.07
11 Ag 0.3299 0.5595 0.0871  3 Li 2.75-2.79, 2 Ag 2.91-3.07
12 Ag 0.3299 0.9405 0.0871  3 Li 2.75-2.79, 2 Ag 2.91-3.07
13 Ag 0.6701 0.0595 0.9129  3 Li 2.75-2.79, 2 Ag 2.91-3.07
14 Ag 0.6701 0.4405 0.9129  3 Li 2.75-2.79, 2 Ag 2.91-3.07
15 Ag 0.8299 0.5595 0.4129  3 Li 2.75-2.79, 2 Ag 2.91-3.07
16 Ag 0.8299 0.9405 0.4129  3 Li 2.75-2.79, 2 Ag 2.91-3.07

As for the space group: No. 62. The calculation puts the total magnetization at 0.00 μB per formula unit.

Preferred: entry Q; penalty for the next structure: 12.0 kJ/mol of atoms.

Entry P
Computed, not measured: a geometry-optimized SrLiAg2 structure at the GGA-PBE level of DFT.

Lattice parameters (Å, degrees): 3.6276 3.6276 7.1171 90.00 90.00 90.00
With the nearest neighbours (Å) after each atom.
Fractional coordinates of all 4 atoms:
1 Sr 0.0000 0.0000 0.0000  8 Ag 3.35, 2 Li 3.56, 4 Sr 3.63
2 Li 0.0000 0.0000 0.5000  8 Ag 2.93
3 Ag 0.5000 0.5000 0.3022  1 Ag 2.82, 4 Li 2.93
4 Ag 0.5000 0.5000 0.6978  1 Ag 2.82, 4 Li 2.93

As for the space group: No. 123. The calculation puts the total magnetization at 0.00 μB per formula unit.

Entry Q
Computed, not measured: a geometry-optimized SrLiAg2 structure at the GGA-PBE level of DFT.

Lattice parameters (Å, degrees): 5.6131 5.6131 5.6131 135.88 128.67 69.96
With the nearest neighbours (Å) after each atom.
Fractional coordinates of all 4 atoms:
1 Sr 0.0000 0.0000 0.0000  4 Li 3.21-3.27, 8 Ag 3.22-3.25
2 Li 0.7286 0.2286 0.5000  6 Ag 2.95-3.24, 4 Sr 3.21-3.27
3 Ag 0.2661 0.7661 0.5000  2 Ag 3.04, 4 Sr 3.23-3.25, 4 Li 3.24
4 Ag 0.5050 0.5050 0.0000  2 Li 2.95, 2 Ag 3.04, 4 Sr 3.22

As for the space group: No. 44. The calculation puts the total magnetization at 0.00 μB per formula unit.

Entry R
Computed, not measured: a geometry-optimized SrLiAg2 structure at the GGA-PBE level of DFT.

Lattice parameters (Å, degrees): 3.7905 3.7905 6.7336 90.00 90.00 90.00
With the nearest neighbours (Å) after each atom.
Fractional coordinates of all 4 atoms:
1 Sr 0.0000 0.0000 0.0000  6 Ag 3.25-3.43, 4 Li 3.57
2 Li 0.5000 0.5000 0.6491  1 Ag 2.54
3 Ag 0.0000 0.0000 0.4904  4 Li 2.89, 4 Ag 3.06
4 Ag 0.5000 0.5000 0.2722  1 Li 2.54

As for the space group: No. 99. The calculation puts the total magnetization at 0.00 μB per formula unit.

Preferred: entry P; penalty for the next structure: 7.3 kJ/mol of atoms.